No. 1
This record from Alexandria describes a geometry-optimized LiPm4Dy3Se8 structure. The functional is PBE-GGA.

Properties
D(E_F) (states/eV per atom): 0.4909
Electronic total energy (eV per atom): -5.69

abc: 8.2197 8.2197 20.3271
angles: 90.00 90.00 120.00
Space group R-3m (No. 166, hexagonal axes)
Unique sites:
Li  0.0000  0.0000  0.0000 x3
Pm  0.0000  0.0000  0.5000 x3
Pm  0.0000  0.5000  0.5000 x9
Dy  0.0000  0.5000  0.0000 x9
Se  0.0000  0.0000  0.2536 x6
Se  0.0064  0.5032  0.7448 x18

No. 2
This record from Alexandria describes a geometry-optimized Li2PmDy2Si2 structure. The functional is PBE-GGA.

Properties
D(E_F) (states/eV per atom): 0.4777
Electronic total energy (eV per atom): -4.49

abc: 4.4740 4.4740 26.6127
angles: 90.00 90.00 120.00
Space group R-3m (No. 166, hexagonal axes)
Unique sites:
Li  0.0000  0.0000  0.0957 x6
Pm  0.0000  0.0000  0.5000 x3
Dy  0.0000  0.0000  0.3719 x6
Si  0.0000  0.0000  0.2401 x6

No. 3
This record from Alexandria describes a geometry-optimized LiPmDySi structure. The functional is PBE-GGA.

Properties
D(E_F) (states/eV per atom): 0.5331
Electronic total energy (eV per atom): -4.53

abc: 7.1258 7.1258 7.1258
angles: 90.00 90.00 90.00
Space group F-43m (No. 216)
Unique sites:
Li  0.0000  0.0000  0.0000 x4
Pm  0.2500  0.2500  0.2500 x4
Dy  0.2500  0.2500  0.7500 x4
Si  0.0000  0.0000  0.5000 x4

No. 4
This record from Alexandria describes a geometry-optimized Li2Pm2DySi2 structure. The functional is PBE-GGA.

Properties
D(E_F) (states/eV per atom): 0.5372
Electronic total energy (eV per atom): -4.50

abc: 4.4205 4.4205 28.0088
angles: 90.00 90.00 120.00
Space group R-3m (No. 166, hexagonal axes)
Unique sites:
Li  0.0000  0.0000  0.1092 x6
Pm  0.0000  0.0000  0.3761 x6
Dy  0.0000  0.0000  0.5000 x3
Si  0.0000  0.0000  0.2302 x6

No. 5
This record from Alexandria describes a geometry-optimized Li2PmDy2Sn2 structure. The functional is PBE-GGA.

Properties
D(E_F) (states/eV per atom): 0.5955
Electronic total energy (eV per atom): -4.15
E_form (eV per atom): -0.464

abc: 4.8060 4.8060 26.8007
angles: 90.00 90.00 120.00
Space group R-3m (No. 166, hexagonal axes)
Unique sites:
Li  0.0000  0.0000  0.0923 x6
Pm  0.0000  0.0000  0.5000 x3
Dy  0.0000  0.0000  0.3701 x6
Sn  0.0000  0.0000  0.2391 x6

No. 6
This record from Alexandria describes a geometry-optimized Li3PmDy2Te6 structure. The functional is PBE-GGA.

Properties
Electronic total energy (eV per atom): -4.51

abc: 7.5755 13.1215 7.5063
angles: 90.00 109.67 90.00
Space group C2/m (No. 12)
Unique sites:
Li  0.0000  0.0000  0.0000 x2
Li  0.0000  0.3342  0.0000 x4
Pm  0.0000  0.5000  0.5000 x2
Dy  0.0000  0.1668  0.5000 x4
Te  0.2446  0.1697  0.2432 x8
Te  0.2465  0.0000  0.7576 x4

Repeat the third record exactly.
This record from Alexandria describes a geometry-optimized LiPmDySi structure. The functional is PBE-GGA.

Properties
D(E_F) (states/eV per atom): 0.5331
Electronic total energy (eV per atom): -4.53

abc: 7.1258 7.1258 7.1258
angles: 90.00 90.00 90.00
Space group F-43m (No. 216)
Unique sites:
Li  0.0000  0.0000  0.0000 x4
Pm  0.2500  0.2500  0.2500 x4
Dy  0.2500  0.2500  0.7500 x4
Si  0.0000  0.0000  0.5000 x4

Question: Among the records above, which one has the highest electronic total energy?
Answer: Li2PmDy2Sn2